No. 1
VASP calculation (GGA-PBE) on a relaxed InAgS5 crystal.

Values from the calculation:
- space group = No. 15
- VASP energy (eV per atom) = -3.777
- crystal system = monoclinic

Unit cell a=5.537 b=5.537 c=12.403 alpha=105.36 beta=105.36 gamma=97.36
Sites, in units of the cell vectors:
In1 0.366 0.634 0.250
In2 0.634 0.366 0.750
S1 0.435 0.169 0.517
S2 0.565 0.831 0.483
S3 0.819 0.181 0.250
S4 0.181 0.819 0.750
S5 0.169 0.435 0.017
S6 0.904 0.580 0.291
S7 0.831 0.565 0.983
S8 0.580 0.904 0.791
S9 0.420 0.096 0.209
S10 0.096 0.420 0.709
Ag1 0.000 0.000 0.500
Ag2 0.000 0.000 0.000

---

No. 2
VASP calculation (GGA-PBE) on a relaxed Zr2ZnSb2 crystal.

Values from the calculation:
- space group = No. 139
- VASP energy (eV per atom) = -5.386
- E above lowest polymorph (eV per formula unit) = 1.89
- crystal system = tetragonal

Unit cell a=4.805 b=4.805 c=6.921 alpha=69.69 beta=69.69 gamma=90.00
Sites, in units of the cell vectors:
Zn1 0.000 0.000 0.000
Sb1 0.620 0.620 0.761
Sb2 0.380 0.380 0.239
Zr1 0.250 0.750 0.500
Zr2 0.750 0.250 0.500

---

No. 3
VASP calculation (GGA-PBE) on a relaxed SrPa2S4 crystal.

Values from the calculation:
- space group = No. 63
- VASP energy (eV per atom) = -7.017
- crystal system = orthorhombic

Unit cell a=3.978 b=6.762 c=13.508 alpha=90.00 beta=90.00 gamma=107.11
Last column: magnetic moment on the atom in μB.
Sites, in units of the cell vectors:
Sr1 0.612 0.224 0.750  0.01
Sr2 0.388 0.776 0.250  0.01
Pa1 0.132 0.263 0.439  1.12
Pa2 0.868 0.737 0.561  1.12
Pa3 0.132 0.263 0.061  1.12
Pa4 0.868 0.737 0.939  1.12
S1 0.500 0.000 0.500  -0.04
S2 0.769 0.537 0.380  -0.03
S3 0.056 0.112 0.250  -0.02
S4 0.231 0.463 0.620  -0.03
S5 0.944 0.888 0.750  -0.02
S6 0.500 0.000 0.000  -0.04
S7 0.769 0.537 0.120  -0.03
S8 0.231 0.463 0.880  -0.03

---

No. 4
VASP calculation (GGA-PBE) on a relaxed CaPmGdOs crystal.

Values from the calculation:
- space group = No. 216
- VASP energy (eV per atom) = -7.866
- E_form (eV per atom) = 0.149
- crystal system = cubic

Unit cell a=5.191 b=5.191 c=5.191 alpha=60.00 beta=60.00 gamma=60.00
Last column: magnetic moment on the atom in μB.
Sites, in units of the cell vectors:
Os1 0.250 0.250 0.250  -0.12
Ca1 0.750 0.750 0.750  0.01
Gd1 0.000 0.000 0.000  7.08
Pm1 0.500 0.500 0.500  0.01

---

No. 5
VASP calculation (GGA-PBE) on a relaxed LiTeI2 crystal.

Values from the calculation:
- space group = No. 166
- VASP energy (eV per atom) = -2.484
- E above lowest polymorph (eV per formula unit) = 0.00
- crystal system = trigonal

Unit cell a=4.174 b=4.174 c=9.461 alpha=77.26 beta=77.26 gamma=60.00
Sites, in units of the cell vectors:
I1 0.893 0.893 0.321
I2 0.107 0.107 0.679
Li1 0.500 0.500 0.500
Te1 0.000 0.000 0.000

---

No. 6
VASP calculation (GGA-PBE) on a relaxed GaCoAsN2 crystal.

Values from the calculation:
- space group = No. 123
- VASP energy (eV per atom) = -4.760
- crystal system = tetragonal

Unit cell a=3.747 b=5.133 c=3.747 alpha=90.00 beta=90.00 gamma=90.00
Last column: magnetic moment on the atom in μB.
Sites, in units of the cell vectors:
Co1 0.000 0.500 0.000  1.50
N1 0.000 0.000 0.500  0.66
N2 0.500 0.000 0.000  0.75
As1 0.500 0.500 0.500  -0.13
Ga1 0.000 0.000 0.000  -0.02

---

No. 7
VASP calculation (GGA-PBE) on a relaxed SrEr4Rh5 crystal.

Values from the calculation:
- space group = No. 123
- VASP energy (eV per atom) = -6.455
- E_form (eV per atom) = -0.786
- crystal system = tetragonal

Unit cell a=3.403 b=3.403 c=17.559 alpha=90.00 beta=90.00 gamma=90.00
Sites, in units of the cell vectors:
Er1 0.000 0.000 0.792
Er2 0.000 0.000 0.597
Er3 0.000 0.000 0.208
Er4 0.000 0.000 0.403
Rh1 0.500 0.500 0.122
Rh2 0.500 0.500 0.691
Rh3 0.500 0.500 0.309
Rh4 0.500 0.500 0.878
Rh5 0.500 0.500 0.500
Sr1 0.000 0.000 0.000

---

No. 8
VASP calculation (GGA-PBE) on a relaxed Mo2RuPt crystal.

Values from the calculation:
- space group = No. 166
- VASP energy (eV per atom) = -9.271
- E_form (eV per atom) = -0.026
- E above lowest polymorph (eV per formula unit) = 0.68
- crystal system = trigonal

Unit cell a=9.337 b=9.337 c=9.337 alpha=17.04 beta=17.04 gamma=17.04
Sites, in units of the cell vectors:
Pt1 0.250 0.250 0.250
Ru1 0.750 0.750 0.750
Mo1 0.002 0.002 0.002
Mo2 0.498 0.498 0.498

---

Which of these has the lowest VASP energy? Mo2RuPt